Here is a relaxed structure of Er3B2PRh9 from Alexandria via LeMat-Bulk. Energies are from PBE.

```
Er3B2PRh9
1.0
-5.1611 -2.0010 -2.3999
5.2798 -2.1380 -1.9882
-0.2700 -5.3708 5.0586
Er Rh B P
3 9 2 1
direct
0.6667 0.3333 0.3294
0.0000 0.0000 0.0000
0.3333 0.6667 0.6706
0.6531 0.8265 0.3256
0.5000 0.0000 0.0000
0.8265 0.6531 0.6744
0.1735 0.3469 0.3256
0.8265 0.1735 0.6744
0.0000 0.5000 0.0000
0.1735 0.8265 0.3256
0.5000 0.5000 0.0000
0.3469 0.1735 0.6744
0.6667 0.3333 0.8483
0.3333 0.6667 0.1517
0.0000 0.0000 0.5000
```

Results
Theoretical density: 10.56 g cm⁻³
Calculated volume: 15.5 A^3/atom
Spin magnetization: 0.0 μB/cell
Space group: P-3m1 (164)
N(E_F): 10.18 states/eV per cell
Energy relative to the elements: -0.83 eV/atom

=====

Here is a relaxed structure of Er4BPS2 from Alexandria via LeMat-Bulk. Energies are from PBE.

```
Er4BPS2
1.0
5.4678 0.0027 0.0000
-0.0028 5.4678 0.0000
-2.7325 -2.7352 5.5083
Er S B P
4 2 1 1
direct
0.9841 0.4841 0.9682
0.7482 0.7482 0.4965
0.5159 0.0159 0.0318
0.2518 0.2518 0.5035
0.0000 0.0000 0.0000
0.2500 0.7500 0.5000
0.7500 0.2500 0.5000
0.5000 0.5000 0.0000
```

Results
Theoretical density: 7.81 g cm⁻³
Calculated volume: 20.6 A^3/atom
Spin magnetization: 0.0 μB/cell
Space group: I-4m2 (119)
Formation energy from raw total energies: -1.48 eV/atom
N(E_F): 2.56 states/eV per cell

=====

Here is a relaxed structure of ErPa2B6 from Alexandria via LeMat-Bulk. Energies are from PBE.

```
ErPa2B6
1.0
4.0024 0.0000 0.0000
0.0000 4.8345 -2.7912
0.0000 0.0000 5.5824
Pa B Er
2 6 1
direct
0.0000 0.6667 0.3333
0.0000 0.3333 0.6667
0.5000 0.0000 0.6652
0.5000 0.6652 0.6652
0.5000 0.3348 0.3348
0.5000 0.0000 0.3348
0.5000 0.3348 0.0000
0.5000 0.6652 0.0000
0.0000 0.0000 0.0000
```

Results
Theoretical density: 10.67 g cm⁻³
Calculated volume: 12.0 A^3/atom
Spin magnetization: 0.0 μB/cell
Space group: P6/mmm (191)
N(E_F): 4.15 states/eV per cell
Energy relative to the elements: -0.60 eV/atom